one | # Na3LiY PBE relaxed
data_Na3LiY
_symmetry_space_group_name_H-M 'P m -3 m'
_symmetry_Int_Tables_number 221
_symmetry_space_group_name_Hall '-P 4 2 3'
_cell_length_a 6.482
_cell_length_b 6.482
_cell_length_c 6.482
_cell_angle_alpha 90.00
_cell_angle_beta 90.00
_cell_angle_gamma 90.00
loop_
_atom_site_label
_atom_site_fract_x
_atom_site_fract_y
_atom_site_fract_z
Na1 0.000 0.000 0.500
Li1 0.500 0.500 0.500
Y1 0.000 0.000 0.000
# - volume (Å³ per cell) = 272.4
# - D(E_F) (states/eV/cell) = 7.17
# - magnetization (μB per formula unit) = 1.3

two | # Na3LiY PBE relaxed
data_Na3LiY
_symmetry_space_group_name_H-M 'P m -3 m'
_symmetry_Int_Tables_number 221
_symmetry_space_group_name_Hall '-P 4 2 3'
_cell_length_a 5.428
_cell_length_b 5.428
_cell_length_c 5.428
_cell_angle_alpha 90.00
_cell_angle_beta 90.00
_cell_angle_gamma 90.00
loop_
_atom_site_label
_atom_site_fract_x
_atom_site_fract_y
_atom_site_fract_z
Na1 0.000 0.000 0.500
Li1 0.000 0.000 0.000
Y1 0.500 0.500 0.500
# - volume (Å³ per cell) = 160.0
# - D(E_F) (states/eV/cell) = 4.42
# - magnetization (μB per formula unit) = 0.0

two (43.9 kJ/mol of atoms below the next structure)